1.
A relaxed structure of LiHo3Tl4. Source: Alexandria via LeMat-Bulk, functional PBE.

Geometry as POSCAR:
```
LiHo3Tl4
1.0
5.0064 0.0000 1.4778
2.2851 4.4545 1.4778
-0.0194 -0.0118 9.2846
Ho Tl Li
3 4 1
Cartesian
3.6361 2.2213 6.1202 Ho
5.4232 3.3131 9.2850 Ho
1.8490 1.1296 2.9553 Ho
0.8841 0.5401 6.2241 Tl
2.7008 1.6500 9.2884 Tl
6.3881 3.9026 6.0162 Tl
4.5713 2.7927 2.9519 Tl
0.0000 0.0000 0.0000 Li
```

The crystal system is trigonal. As for the total energy: -3.45 eV/atom. The calculation puts the energy above the most stable polymorph in this dataset at 0.000 eV per atom.



2.
A relaxed structure of TcB2O6. Source: Alexandria via LeMat-Bulk, functional PBE.

Geometry as POSCAR:
```
TcB2O6
1.0
4.8778 0.0570 0.0552
1.4886 6.1188 -0.0263
1.4886 0.1720 6.1164
O B Tc
12 4 2
Cartesian
2.1398 0.8560 3.6478 O
5.7274 2.2316 2.2480 O
4.5666 4.0572 4.0154 O
5.7377 5.9420 4.9829 O
4.5562 1.2036 0.3956 O
3.2988 5.1443 5.7498 O
4.5787 3.7022 0.7649 O
3.2763 2.6456 5.3804 O
2.1173 0.4058 1.1625 O
5.7152 5.4919 2.4975 O
2.1277 4.1162 3.8973 O
3.2885 2.2906 2.1300 O
5.7533 4.7900 3.9261 B
3.3144 4.0507 4.6327 B
4.5406 2.2971 1.5127 B
2.1017 1.5578 2.2193 B
5.1470 5.4061 0.7954 Tc
2.7081 0.9417 5.3499 Tc
```

The crystal system is monoclinic. As for the total energy: -7.67 eV/atom. The calculation puts the energy above the most stable polymorph in this dataset at 0.065 eV per atom.



3.
A relaxed structure of TlInPS2. Source: Alexandria via LeMat-Bulk, functional PBE.

Geometry as POSCAR:
```
TlInPS2
1.0
-4.3339 -0.4316 2.7614
2.3080 -3.4262 3.0868
1.5781 3.8344 3.0761
Tl P S In
1 1 2 1
Cartesian
-0.2239 -0.0117 4.4621 Tl
0.7890 1.9172 1.5380 P
1.1540 -1.7131 1.5434 S
-2.1670 -0.2158 1.3807 S
0.0000 0.0000 0.0000 In
```

The crystal system is tetragonal. As for the total energy: -3.35 eV/atom. The calculation puts the energy above the most stable polymorph in this dataset at 0.000 eV per atom.